Record 1
A plane-wave DFT calculation with PBE was carried out for an optimized crystal structure of KNi3Te.

Geometry as POSCAR:
```
KNi3Te
1.0
-4.4780 0.0757 1.7672
-1.0942 -3.8980 -2.6057
1.3897 -2.8251 3.6426
Te Ni K
1 3 1
Direct
0.0000 0.0000 0.0000 Te
0.5000 0.0000 0.0000 Ni
0.0000 0.0000 0.5000 Ni
0.0000 0.5000 0.0000 Ni
0.5000 0.5000 0.5000 K
```

Results
- N(E_F): 6.82 states/eV per cell
- Formation energy without anion corrections: 2.4 eV per formula unit
- V: 22.3 Å³ per atom
- Polymorph energy (0 for the lowest one): 0 meV/atom

***

Record 2
A plane-wave DFT calculation with PBE was carried out for an optimized crystal structure of KNiTe3.

Geometry as POSCAR:
```
KNiTe3
1.0
5.2100 0.0000 0.0000
0.0000 5.2100 0.0000
0.0000 0.0000 5.2100
Te Ni K
3 1 1
Direct
0.0000 0.5000 0.0000 Te
0.5000 0.0000 0.0000 Te
0.0000 0.0000 0.5000 Te
0.0000 0.0000 0.0000 Ni
0.5000 0.5000 0.5000 K
```

Results
- N(E_F): 4.20 states/eV per cell
- Formation energy without anion corrections: -0.9 eV per formula unit
- V: 28.3 Å³ per atom
- Polymorph energy (0 for the lowest one): 0 meV/atom

***

Record 3
A plane-wave DFT calculation with PBE was carried out for an optimized crystal structure of KNi2Te.

Geometry as POSCAR:
```
KNi2Te
1.0
-3.2424 3.7321 1.2277
-3.9066 -2.9825 -1.3385
3.4747 -0.7971 3.6387
Ni Te K
2 1 1
Direct
0.5839 0.5839 0.0000 Ni
0.9161 0.9161 0.0000 Ni
0.7500 0.2500 0.5000 Te
0.2500 0.7500 0.5000 K
```

Results
- N(E_F): 5.78 states/eV per cell
- Formation energy without anion corrections: 1.4 eV per formula unit
- V: 22.7 Å³ per atom

***

Record 4
A plane-wave DFT calculation with PBE was carried out for an optimized crystal structure of KNi3Te.

Geometry as POSCAR:
```
KNi3Te
1.0
4.6006 0.0000 0.0000
0.0000 4.6006 0.0000
0.0000 0.0000 4.6006
Ni Te K
3 1 1
Direct
0.0000 0.5000 0.0000 Ni
0.5000 0.0000 0.0000 Ni
0.0000 0.0000 0.5000 Ni
0.5000 0.5000 0.5000 Te
0.0000 0.0000 0.0000 K
```

Results
- N(E_F): 6.19 states/eV per cell
- Formation energy without anion corrections: 8.8 eV per formula unit
- V: 19.5 Å³ per atom
- Polymorph energy (0 for the lowest one): 1285 meV/atom

***

| no. | total energy (Ry/atom) |
| --- | --- |
| 1 | -0.2824 |
| 2 | -0.2527 |
| 3 | -0.2647 |
| 4 | -0.1880 |